Here is an optimized crystal structure of Ac3Pb5 from the Alexandria database. Energies are from GGA-PBE.

Cell: 5.015 5.029 10.877 Å, 90.00 90.00 90.00°
Element x y z (fractional)
Pb (0.000, 0.500, 0.256)
Ac (0.500, 0.000, 0.780)
Ac (0.500, 0.000, 0.220)
Pb (0.000, 0.000, 0.500)
Pb (0.000, 0.000, 0.000)
Ac (0.500, 0.500, 0.500)
Pb (0.000, 0.500, 0.744)
Pb (0.500, 0.500, 0.000)

formation energy from the elements: -0.4492 eV/atom
calculated density: 10.39 g cm⁻³
D(E_F): 5.28 states/eV/cell

=====

Here is an optimized crystal structure of Cu2AsRh from the Alexandria database. Energies are from GGA-PBE.

Cell: 2.751 2.751 8.553 Å, 90.00 90.00 117.40°
Element x y z (fractional)
Rh (0.000, 0.000, 0.498)
Cu (0.500, 0.500, 0.245)
Cu (0.000, 0.000, 0.012)
As (0.500, 0.500, 0.745)

formation energy from the elements: 0.1791 eV/atom
calculated density: 8.81 g cm⁻³
D(E_F): 2.04 states/eV/cell

=====

Here is an optimized crystal structure of La3NbW from the Alexandria database. Energies are from GGA-PBE.

Cell: 5.493 5.493 5.493 Å, 90.00 90.00 90.00°
Element x y z (fractional)
La (0.000, 0.000, 0.500)
Nb (0.500, 0.500, 0.500)
La (0.000, 0.500, 0.000)
La (0.500, 0.000, 0.000)
W (0.000, 0.000, 0.000)

distance to the lowest polymorph of the same formula: 0.00 kcal/mol of atoms
formation energy from the elements: 1.1399 eV/atom
calculated density: 6.95 g cm⁻³
D(E_F): 21.01 states/eV/cell

=====

Here is an optimized crystal structure of NdGdCdPt from the Alexandria database. Energies are from GGA-PBE.

Cell: 5.202 5.202 5.202 Å, 60.00 60.00 60.00°
Each line ends with the local moment (μB).
Element x y z (fractional)
Gd (0.250, 0.250, 0.250)  7.03
Nd (0.750, 0.750, 0.750)  0.02
Pt (0.500, 0.500, 0.500)  -0.01
Cd (0.000, 0.000, 0.000)  0.00

formation energy from the elements: -0.6584 eV/atom
calculated density: 10.16 g cm⁻³
D(E_F): 3.67 states/eV/cell

=====

Here is an optimized crystal structure of PaCrMoC3 from the Alexandria database. Energies are from GGA-PBE.

Cell: 3.116 5.532 8.196 Å, 103.33 90.00 90.00°
Each line ends with the local moment (μB).
Element x y z (fractional)
Cr (0.250, 0.121, 0.627)  0.35
Mo (0.250, 0.768, 0.059)  0.03
C (0.750, 0.235, 0.515)  -0.02
Cr (0.750, 0.879, 0.373)  0.35
C (0.750, 0.030, 0.159)  0.00
Mo (0.750, 0.232, 0.941)  0.03
Pa (0.750, 0.649, 0.697)  0.00
Pa (0.250, 0.351, 0.303)  0.00
C (0.250, 0.425, 0.837)  0.00
C (0.250, 0.765, 0.485)  -0.02
C (0.250, 0.970, 0.841)  0.00
C (0.750, 0.575, 0.163)  0.00

formation energy from the elements: -0.2508 eV/atom
calculated density: 10.02 g cm⁻³
D(E_F): 6.17 states/eV/cell

=====

Here is an optimized crystal structure of ZrTaTe4 from the Alexandria database. Energies are from GGA-PBE.

Cell: 6.053 6.053 6.053 Å, 60.00 60.00 60.00°
Element x y z (fractional)
Te (0.375, 0.375, 0.876)
Te (0.375, 0.375, 0.375)
Te (0.375, 0.876, 0.375)
Te (0.876, 0.375, 0.375)
Zr (0.750, 0.750, 0.750)
Ta (0.000, 0.000, 0.000)

distance to the lowest polymorph of the same formula: 37.64 kcal/mol of atoms
calculated density: 8.28 g cm⁻³
D(E_F): 6.02 states/eV/cell
raw formation energy: 1.0443 eV/atom

=====

Here is an optimized crystal structure of Tb2Dy2Y6Ho from the Alexandria database. Energies are from GGA-PBE.

Cell: 6.656 6.656 11.906 Å, 101.70 101.70 129.55°
Element x y z (fractional)
Tb (0.708, 0.292, 0.500)
Y (0.706, 0.706, 0.705)
Y (0.294, 0.294, 0.295)
Dy (0.133, 0.867, 0.000)
Ho (0.000, 0.000, 0.500)
Tb (0.292, 0.708, 0.500)
Y (0.146, 0.450, 0.798)
Y (0.550, 0.854, 0.202)
Y (0.854, 0.550, 0.202)
Y (0.450, 0.146, 0.798)
Dy (0.867, 0.133, 0.000)

formation energy from the elements: 0.1444 eV/atom
calculated density: 6.23 g cm⁻³
D(E_F): 17.61 states/eV/cell

=====

Here is an optimized crystal structure of BaAuCl from the Alexandria database. Energies are from GGA-PBE.

Cell: 6.013 6.013 4.179 Å, 69.67 69.67 40.67°
Element x y z (fractional)
Ba (0.325, 0.325, 0.675)
Cl (0.683, 0.683, 0.317)
Au (0.992, 0.992, 0.008)

distance to the lowest polymorph of the same formula: 6.20 kcal/mol of atoms
calculated density: 6.71 g cm⁻³
D(E_F): 0.00 states/eV/cell
raw formation energy: -1.3061 eV/atom

=====

Here is an optimized crystal structure of AlCd2In from the Alexandria database. Energies are from GGA-PBE.

Cell: 5.516 5.516 5.516 Å, 132.45 132.45 69.53°
Element x y z (fractional)
Al (0.750, 0.250, 0.500)
Cd (0.250, 0.750, 0.500)
In (0.500, 0.500, 0.000)
Cd (0.000, 0.000, 0.000)

distance to the lowest polymorph of the same formula: 1.10 kcal/mol of atoms
formation energy from the elements: 0.1253 eV/atom
calculated density: 6.79 g cm⁻³
D(E_F): 1.31 states/eV/cell

=====

Here is an optimized crystal structure of CaBeAs2 from the Alexandria database. Energies are from GGA-PBE.

Cell: 5.592 5.592 5.592 Å, 44.73 44.73 44.73°
Element x y z (fractional)
As (0.540, 0.540, 0.540)
Be (0.250, 0.250, 0.250)
As (0.960, 0.960, 0.960)
Ca (0.750, 0.750, 0.750)

formation energy from the elements: -0.2314 eV/atom
calculated density: 4.19 g cm⁻³
D(E_F): 1.12 states/eV/cell

=====

Here is an optimized crystal structure of YZnCl2 from the Alexandria database. Energies are from GGA-PBE.

Cell: 4.935 4.038 5.278 Å, 67.54 90.00 90.00°
Each line ends with the local moment (μB).
Element x y z (fractional)
Cl (0.000, 0.033, 0.059)  0.01
Zn (0.500, 0.719, 0.688)  0.03
Cl (0.500, 0.433, 0.259)  0.00
Y (0.000, 0.315, 0.494)  0.15

distance to the lowest polymorph of the same formula: 2.44 kcal/mol of atoms
calculated density: 3.85 g cm⁻³
D(E_F): 1.87 states/eV/cell
raw formation energy: -1.1087 eV/atom

=====

Here is an optimized crystal structure of LiCdPt2 from the Alexandria database. Energies are from GGA-PBE.

Cell: 4.078 2.802 6.231 Å, 64.48 90.00 90.00°
Element x y z (fractional)
Cd (0.000, 0.511, 0.498)
Pt (0.500, 0.258, 0.243)
Pt (0.000, 0.008, 0.986)
Li (0.500, 0.724, 0.774)

formation energy from the elements: -0.3636 eV/atom
calculated density: 13.17 g cm⁻³
D(E_F): 2.02 states/eV/cell